1.
DFT (PBE) results for a relaxed structure of LaFeReTc2.

Calculated values
space group: P4/mmm (123)
ΔE_f: 0.83 eV per atom

a = 4.772 Å, b = 4.772 Å, c = 4.533 Å
α = 90.00°, β = 90.00°, γ = 90.00°
Element x y z (fractional)
La: 0.000 0.000 0.000
Fe: 0.500 0.500 0.000
Re: 0.500 0.500 0.500
Tc: 0.000 0.500 0.500
Tc: 0.500 0.000 0.500

***

2.
DFT (PBE) results for a relaxed structure of LaFeRh2.

Calculated values
space group: Fm-3m (225)
ΔE_f: -0.13 eV per atom

a = 6.608 Å, b = 6.608 Å, c = 6.608 Å
α = 90.00°, β = 90.00°, γ = 90.00°
Element x y z (fractional)
La: 0.000 0.000 0.000
La: 0.000 0.500 0.500
La: 0.500 0.000 0.500
La: 0.500 0.500 0.000
Fe: 0.000 0.000 0.500
Fe: 0.000 0.500 0.000
Fe: 0.500 0.000 0.000
Fe: 0.500 0.500 0.500
Rh: 0.250 0.250 0.250
Rh: 0.250 0.250 0.750
Rh: 0.250 0.750 0.250
Rh: 0.250 0.750 0.750
Rh: 0.750 0.250 0.250
Rh: 0.750 0.250 0.750
Rh: 0.750 0.750 0.250
Rh: 0.750 0.750 0.750

***

3.
DFT (PBE) results for a relaxed structure of LaFe2Rh.

Calculated values
space group: P4/mmm (123)
ΔE_f: 0.15 eV per atom

a = 3.904 Å, b = 3.904 Å, c = 4.592 Å
α = 90.00°, β = 90.00°, γ = 90.00°
Element x y z (fractional)
La: 0.000 0.000 0.000
Fe: 0.000 0.500 0.500
Fe: 0.500 0.000 0.500
Rh: 0.500 0.500 0.000

***

4.
DFT (PBE) results for a relaxed structure of LaFeRh2.

Calculated values
space group: Pm (6)
ΔE_f: -0.12 eV per atom

a = 3.214 Å, b = 4.416 Å, c = 5.336 Å
α = 90.00°, β = 101.51°, γ = 90.00°
Element x y z (fractional)
La: 0.000 0.000 0.000
Fe: 0.195 0.500 0.572
Rh: 0.554 0.500 0.178
Rh: 0.596 0.000 0.511

***

Q: What is the formula in the first record?
A: LaFeReTc2

***

Q: Among the records above, which one has the lowest ΔE_f?
A: number 2

***

What did the second record say?
DFT (PBE) results for a relaxed structure of LaFeRh2.

Calculated values
space group: Fm-3m (225)
ΔE_f: -0.13 eV per atom

a = 6.608 Å, b = 6.608 Å, c = 6.608 Å
α = 90.00°, β = 90.00°, γ = 90.00°
Element x y z (fractional)
La: 0.000 0.000 0.000
La: 0.000 0.500 0.500
La: 0.500 0.000 0.500
La: 0.500 0.500 0.000
Fe: 0.000 0.000 0.500
Fe: 0.000 0.500 0.000
Fe: 0.500 0.000 0.000
Fe: 0.500 0.500 0.500
Rh: 0.250 0.250 0.250
Rh: 0.250 0.250 0.750
Rh: 0.250 0.750 0.250
Rh: 0.250 0.750 0.750
Rh: 0.750 0.250 0.250
Rh: 0.750 0.250 0.750
Rh: 0.750 0.750 0.250
Rh: 0.750 0.750 0.750